# 1
Material: LiRhW2
Method: DFT, PBE
State: relaxed

## Properties
size of the total moment: 0.00 μB per formula unit
theoretical density: 12.76 Mg/m³
distance to the lowest polymorph of the same formula: 59 meV per atom
space group: No. 160

a = 2.787 Å, b = 2.787 Å, c = 27.713 Å
α = 90.00°, β = 90.00°, γ = 120.00°
Element x y z (fractional)
1 Li 0.000 0.000 0.000
2 Li 0.333 0.667 0.667
3 Li 0.667 0.333 0.333
4 Rh 0.000 0.000 0.253
5 Rh 0.333 0.667 0.920
6 Rh 0.667 0.333 0.586
7 W 0.000 0.000 0.510
8 W 0.000 0.000 0.755
9 W 0.333 0.667 0.177
10 W 0.333 0.667 0.422
11 W 0.667 0.333 0.089
12 W 0.667 0.333 0.844


# 2
Material: CsK3
Method: DFT, PBE
State: relaxed

## Properties
size of the total moment: 0.00 μB per formula unit
theoretical density: 1.27 Mg/m³
DFT total energy: -1.025 eV/atom
space group: No. 139

a = 7.740 Å, b = 7.740 Å, c = 21.821 Å
α = 90.00°, β = 90.00°, γ = 90.00°
Element x y z (fractional)
1 Cs 0.000 0.000 0.129
2 Cs 0.000 0.000 0.871
3 Cs 0.500 0.500 0.371
4 Cs 0.500 0.500 0.629
5 K 0.000 0.000 0.378
6 K 0.000 0.000 0.622
7 K 0.000 0.500 0.000
8 K 0.000 0.500 0.250
9 K 0.000 0.500 0.500
10 K 0.000 0.500 0.750
11 K 0.500 0.000 0.000
12 K 0.500 0.000 0.250
13 K 0.500 0.000 0.500
14 K 0.500 0.000 0.750
15 K 0.500 0.500 0.122
16 K 0.500 0.500 0.878


# 3
Material: PmNpCuIr
Method: DFT, PBE
State: relaxed

## Properties
size of the total moment: 4.28 μB per formula unit
theoretical density: 12.49 Mg/m³
DFT total energy: -7.783 eV/atom
space group: No. 216

a = 6.975 Å, b = 6.975 Å, c = 6.975 Å
α = 90.00°, β = 90.00°, γ = 90.00°
Element x y z (fractional)
1 Pm 0.000 0.000 0.000
2 Pm 0.000 0.500 0.500
3 Pm 0.500 0.000 0.500
4 Pm 0.500 0.500 0.000
5 Np 0.000 0.000 0.500
6 Np 0.000 0.500 0.000
7 Np 0.500 0.000 0.000
8 Np 0.500 0.500 0.500
9 Cu 0.250 0.250 0.750
10 Cu 0.250 0.750 0.250
11 Cu 0.750 0.250 0.250
12 Cu 0.750 0.750 0.750
13 Ir 0.250 0.250 0.250
14 Ir 0.250 0.750 0.750
15 Ir 0.750 0.250 0.750
16 Ir 0.750 0.750 0.250


# 4
Material: PrDy6Sc4
Method: DFT, PBE
State: relaxed

## Properties
size of the total moment: 0.00 μB per formula unit
theoretical density: 6.23 Mg/m³
distance to the lowest polymorph of the same formula: 191 meV per atom
space group: No. 187

a = 8.710 Å, b = 8.710 Å, c = 5.253 Å
α = 90.00°, β = 90.00°, γ = 120.00°
Element x y z (fractional)
1 Pr 0.000 0.000 0.000
2 Dy 0.201 0.402 0.500
3 Dy 0.201 0.799 0.500
4 Dy 0.534 0.067 0.000
5 Dy 0.534 0.466 0.000
6 Dy 0.598 0.799 0.500
7 Dy 0.933 0.466 0.000
8 Sc 0.333 0.667 0.000
9 Sc 0.427 0.214 0.500
10 Sc 0.786 0.214 0.500
11 Sc 0.786 0.573 0.500


# 5
Material: CsKSn2
Method: DFT, PBE
State: relaxed

## Properties
size of the total moment: 0.00 μB per formula unit
theoretical density: 3.51 Mg/m³
distance to the lowest polymorph of the same formula: 0 meV per atom
space group: No. 62

a = 8.801 Å, b = 8.223 Å, c = 10.721 Å
α = 90.00°, β = 90.00°, γ = 90.00°
Element x y z (fractional)
1 Cs 0.002 0.250 0.182
2 Cs 0.498 0.750 0.682
3 Cs 0.502 0.250 0.318
4 Cs 0.998 0.750 0.818
5 K 0.218 0.750 0.330
6 K 0.282 0.250 0.830
7 K 0.718 0.750 0.170
8 K 0.782 0.250 0.670
9 Sn 0.142 0.078 0.539
10 Sn 0.142 0.422 0.539
11 Sn 0.358 0.578 0.039
12 Sn 0.358 0.922 0.039
13 Sn 0.642 0.078 0.961
14 Sn 0.642 0.422 0.961
15 Sn 0.858 0.578 0.461
16 Sn 0.858 0.922 0.461


# 6
Material: Sm3CdRh
Method: DFT, PBE
State: relaxed

## Properties
size of the total moment: 0.00 μB per formula unit
theoretical density: 7.79 Mg/m³
DFT total energy: -4.883 eV/atom
space group: No. 12

a = 8.349 Å, b = 8.349 Å, c = 10.555 Å
α = 123.81°, β = 123.81°, γ = 28.12°
Element x y z (fractional)
1 Sm 0.087 0.087 0.451
2 Sm 0.330 0.330 0.198
3 Sm 0.363 0.363 0.783
4 Sm 0.637 0.637 0.217
5 Sm 0.670 0.670 0.802
6 Sm 0.913 0.913 0.549
7 Cd 0.071 0.071 0.926
8 Cd 0.929 0.929 0.074
9 Rh 0.268 0.268 0.415
10 Rh 0.732 0.732 0.585


| no. | V (Å³/f.u.) |
| --- | --- |
| 1 | 62.1 |
| 2 | 326.8 |
| 3 | 84.8 |
| 4 | 345.1 |
| 5 | 194.0 |
| 6 | 142.0 |